(1)
BaSi2W | PBE | relaxed

Size of the total moment ... 0.0 μB per cell
Uncorrected energy ... -22.06 eV per cell
Crystal system ... tetragonal

Lattice parameters (Å, degrees): 5.3007 5.3007 2.8737 90.00 90.00 90.00
Space group P4/mmm (No. 123)
Symmetry-distinct sites (fractional):
Ba (0.0000, 0.0000, 0.0000) (multiplicity 1)
Si (0.0000, 0.5000, 0.5000) (multiplicity 2)
W (0.5000, 0.5000, 0.0000) (multiplicity 1)

=====

(2)
Ce2PrThSb4 | PBE | relaxed

Size of the total moment ... 1.9 μB per cell
Uncorrected energy ... -49.07 eV per cell
Crystal system ... monoclinic

Lattice parameters (Å, degrees): 7.8104 4.5126 7.8468 90.00 109.38 90.00
Space group P2/m (No. 10)
Symmetry-distinct sites (fractional):
Ce (0.0000, 0.0000, 0.0000) (multiplicity 1)
Ce (0.5000, 0.5000, 0.0000) (multiplicity 1)
Pr (0.0000, 0.5000, 0.5000) (multiplicity 1)
Th (0.5000, 0.0000, 0.5000) (multiplicity 1)
Sb (0.2512, 0.5000, 0.2486) (multiplicity 2)
Sb (0.2531, 0.0000, 0.7529) (multiplicity 2)

=====

(3)
HfNpTl2O6 | PBE | relaxed

Size of the total moment ... 4.0 μB per cell
Uncorrected energy ... -323.78 eV per cell
Crystal system ... cubic

Lattice parameters (Å, degrees): 8.4557 8.4557 8.4557 90.00 90.00 90.00
Space group Fm-3m (No. 225)
Symmetry-distinct sites (fractional):
Hf (0.0000, 0.0000, 0.0000) (multiplicity 4)
Np (0.0000, 0.0000, 0.5000) (multiplicity 4)
Tl (0.2500, 0.2500, 0.2500) (multiplicity 8)
O (0.0000, 0.0000, 0.2508) (multiplicity 24)

=====

Number 1: formation energy without anion corrections 0.916 eV per atom. Number 2: formation energy without anion corrections -1.064 eV per atom. Number 3: formation energy without anion corrections -2.357 eV per atom.